(1)
Here is an optimized crystal structure of Hf2NbIr from Alexandria. Energies are from PBE.

Structure (CIF):
```
data_Hf2NbIr
_chemical_formula_sum 'Hf8 Nb4 Ir4'
_space_group_name_H-M_alt 'I -4 2 d'
_space_group_IT_number 122
_space_group_name_Hall 'I -4 2bw'
_cell_length_a 7.523
_cell_length_b 7.523
_cell_length_c 5.748
_cell_angle_alpha 90.00
_cell_angle_beta 90.00
_cell_angle_gamma 90.00
loop_
_atom_site_label
_atom_site_type_symbol
_atom_site_fract_x
_atom_site_fract_y
_atom_site_fract_z
Hf1 Hf 0.218 0.250 0.125
Nb1 Nb 0.000 0.000 0.500
Ir1 Ir 0.000 0.000 0.000
```

Summary:
Fermi-level density of states = 1.0109 states/eV per atom
E_form = 0.038 eV/atom
M_tot = 0.00 μB per formula unit


(2)
Here is an optimized crystal structure of HoCd6Cu6 from Alexandria. Energies are from PBE.

Structure (CIF):
```
data_HoCd6Cu6
_chemical_formula_sum 'Ho2 Cd12 Cu12'
_space_group_name_H-M_alt 'I m m m'
_space_group_IT_number 71
_space_group_name_Hall '-I 2 2'
_cell_length_a 5.219
_cell_length_b 9.313
_cell_length_c 9.328
_cell_angle_alpha 90.00
_cell_angle_beta 90.00
_cell_angle_gamma 90.00
loop_
_atom_site_label
_atom_site_type_symbol
_atom_site_fract_x
_atom_site_fract_y
_atom_site_fract_z
Ho1 Ho 0.000 0.000 0.000
Cd1 Cd 0.000 0.000 0.338
Cd2 Cd 0.000 0.312 0.500
Cd3 Cd 0.000 0.345 0.000
Cu1 Cu 0.000 0.500 0.273
Cu2 Cu 0.250 0.250 0.250
```

Summary:
Fermi-level density of states = 0.5501 states/eV per atom
E_form = -0.065 eV/atom
M_tot = 0.00 μB per formula unit


(3)
Here is an optimized crystal structure of Pt4C3 from Alexandria. Energies are from PBE.

Structure (CIF):
```
data_Pt4C3
_chemical_formula_sum 'Pt8 C6'
_space_group_name_H-M_alt 'I 4/m m m'
_space_group_IT_number 139
_space_group_name_Hall '-I 4 2'
_cell_length_a 2.794
_cell_length_b 2.794
_cell_length_c 22.574
_cell_angle_alpha 90.00
_cell_angle_beta 90.00
_cell_angle_gamma 90.00
loop_
_atom_site_label
_atom_site_type_symbol
_atom_site_fract_x
_atom_site_fract_y
_atom_site_fract_z
Pt1 Pt 0.000 0.000 0.061
Pt2 Pt 0.000 0.000 0.310
C1 C 0.000 0.000 0.151
C2 C 0.000 0.000 0.500
```

Summary:
Fermi-level density of states = 0.5016 states/eV per atom
Relative energy among the computed polymorphs = 587 meV/atom
E_form = 1.183 eV/atom
M_tot = 0.00 μB per formula unit


(4)
Here is an optimized crystal structure of Sc8CoAg2 from Alexandria. Energies are from PBE.

Structure (CIF):
```
data_Sc8CoAg2
_chemical_formula_sum 'Sc16 Co2 Ag4'
_space_group_name_H-M_alt 'C 1 m 1'
_space_group_IT_number 8
_space_group_name_Hall 'C -2y'
_cell_length_a 7.000
_cell_length_b 14.723
_cell_length_c 5.547
_cell_angle_alpha 90.00
_cell_angle_beta 122.67
_cell_angle_gamma 90.00
loop_
_atom_site_label
_atom_site_type_symbol
_atom_site_fract_x
_atom_site_fract_y
_atom_site_fract_z
Sc1 Sc 0.000 0.000 0.000
Sc2 Sc 0.003 0.111 0.488
Sc3 Sc 0.230 0.307 0.776
Sc4 Sc 0.460 0.000 0.625
Sc5 Sc 0.473 0.113 0.110
Co1 Co 0.228 0.500 0.487
Ag1 Ag 0.224 0.211 0.274
```

Summary:
Fermi-level density of states = 1.1099 states/eV per atom
Relative energy among the computed polymorphs = 49 meV/atom
E_form = -0.119 eV/atom
M_tot = 0.00 μB per formula unit


(5)
Here is an optimized crystal structure of Ho3MgPd3 from Alexandria. Energies are from PBE.

Structure (CIF):
```
data_Ho3MgPd3
_chemical_formula_sum 'Ho12 Mg4 Pd12'
_space_group_name_H-M_alt 'C 1 2/m 1'
_space_group_IT_number 12
_space_group_name_Hall '-C 2y'
_cell_length_a 8.839
_cell_length_b 10.320
_cell_length_c 6.983
_cell_angle_alpha 90.00
_cell_angle_beta 92.75
_cell_angle_gamma 90.00
loop_
_atom_site_label
_atom_site_type_symbol
_atom_site_fract_x
_atom_site_fract_y
_atom_site_fract_z
Ho1 Ho 0.000 0.172 0.000
Ho2 Ho 0.000 0.255 0.500
Ho3 Ho 0.151 0.500 0.863
Mg1 Mg 0.237 0.500 0.368
Pd1 Pd 0.066 0.000 0.315
Pd2 Pd 0.241 0.264 0.219
```

Summary:
Fermi-level density of states = 0.7379 states/eV per atom
E_form = -0.664 eV/atom
M_tot = 0.00 μB per formula unit


(6)
Here is an optimized crystal structure of K2LaSi from Alexandria. Energies are from PBE.

Structure (CIF):
```
data_K2LaSi
_chemical_formula_sum 'K6 La3 Si3'
_space_group_name_H-M_alt 'R -3 m'
_space_group_IT_number 166
_space_group_name_Hall '-R 3 2"'
_cell_length_a 3.6604
_cell_length_b 3.6604
_cell_length_c 39.1954
_cell_angle_alpha 90.00
_cell_angle_beta 90.00
_cell_angle_gamma 120.00
loop_
_atom_site_label
_atom_site_type_symbol
_atom_site_fract_x
_atom_site_fract_y
_atom_site_fract_z
K1 K 0.0000 0.0000 0.2351
La1 La 0.0000 0.0000 0.0000
Si1 Si 0.0000 0.0000 0.5000
```

Summary:
Fermi-level density of states = 1.1464 states/eV per atom
Formation energy without anion corrections = 2.4 eV per formula unit
M_tot = 0.59 μB per formula unit


(7)
Here is an optimized crystal structure of Sm5Tl2Rh2 from Alexandria. Energies are from PBE.

Structure (CIF):
```
data_Sm5Tl2Rh2
_chemical_formula_sum 'Sm20 Tl8 Rh8'
_space_group_name_H-M_alt 'C m c e'
_space_group_IT_number 64
_space_group_name_Hall '-C 2ac 2'
_cell_length_a 16.073
_cell_length_b 7.313
_cell_length_c 8.449
_cell_angle_alpha 90.00
_cell_angle_beta 90.00
_cell_angle_gamma 90.00
loop_
_atom_site_label
_atom_site_type_symbol
_atom_site_fract_x
_atom_site_fract_y
_atom_site_fract_z
Sm1 Sm 0.000 0.000 0.000
Sm2 Sm 0.119 0.159 0.323
Tl1 Tl 0.215 0.000 0.000
Rh1 Rh 0.000 0.134 0.626
```

Summary:
Fermi-level density of states = 0.7241 states/eV per atom
E_form = -0.505 eV/atom
M_tot = 0.00 μB per formula unit


(8)
Here is an optimized crystal structure of CaZr2Cl from Alexandria. Energies are from PBE.

Structure (CIF):
```
data_CaZr2Cl
_chemical_formula_sum 'Ca2 Zr4 Cl2'
_space_group_name_H-M_alt 'C 1 m 1'
_space_group_IT_number 8
_space_group_name_Hall 'C -2y'
_cell_length_a 10.796
_cell_length_b 3.244
_cell_length_c 6.172
_cell_angle_alpha 90.00
_cell_angle_beta 103.25
_cell_angle_gamma 90.00
loop_
_atom_site_label
_atom_site_type_symbol
_atom_site_fract_x
_atom_site_fract_y
_atom_site_fract_z
Ca1 Ca 0.000 0.000 0.000
Zr1 Zr 0.050 0.500 0.496
Zr2 Zr 0.317 0.500 0.432
Cl1 Cl 0.225 0.000 0.777
```

Summary:
Fermi-level density of states = 1.1652 states/eV per atom
Relative energy among the computed polymorphs = 334 meV/atom
Formation energy without anion corrections = -0.6 eV per formula unit
M_tot = 0.00 μB per formula unit